{"formula": "BaAcPmPb", "functional": "PBE-GGA", "state": "relaxed", "cell": [[8.4777, 0.0000, 0.0000], [0.0000, 8.4777, 0.0000], [0.0000, 0.0000, 8.4777]], "species": ["Ba", "Ba", "Ba", "Ba", "Ac", "Ac", "Ac", "Ac", "Pm", "Pm", "Pm", "Pm", "Pb", "Pb", "Pb", "Pb"], "frac_coords": [[0.0000, 0.0000, 0.0000], [0.0000, 0.5000, 0.5000], [0.5000, 0.0000, 0.5000], [0.5000, 0.5000, 0.0000], [0.2500, 0.2500, 0.2500], [0.2500, 0.7500, 0.7500], [0.7500, 0.2500, 0.7500], [0.7500, 0.7500, 0.2500], [0.0000, 0.0000, 0.5000], [0.0000, 0.5000, 0.0000], [0.5000, 0.0000, 0.0000], [0.5000, 0.5000, 0.5000], [0.2500, 0.2500, 0.7500], [0.2500, 0.7500, 0.2500], [0.7500, 0.2500, 0.2500], [0.7500, 0.7500, 0.7500]], "total_energy_ev_per_atom": -3.632, "m_tot_mub_per_cell": 4.735, "spacegroup": "F-43m, No. 216", "n_ef_per_ev_cell": 24.486}

=====

{"formula": "BaAcPb2S4", "functional": "PBE-GGA", "state": "relaxed", "cell": [[6.1055, 0.0000, 0.0000], [0.2683, 6.1011, 0.0000], [2.4625, 2.8275, 6.5755]], "species": ["Ba", "Ac", "Pb", "Pb", "S", "S", "S", "S"], "frac_coords": [[0.0000, 0.0000, 0.0000], [0.2791, 0.7348, 0.5084], [0.5265, 0.4773, 0.0354], [0.7643, 0.2491, 0.4761], [0.1015, 0.5156, 0.9548], [0.2348, 0.2405, 0.4970], [0.4807, 0.9150, 0.0651], [0.7796, 0.7789, 0.5011]], "total_energy_ev_per_atom": -5.018, "m_tot_mub_per_cell": 0.000, "spacegroup": "P1, No. 1", "raw_formation_energy_kj_per_mol_fu": -983, "n_ef_per_ev_cell": 2.290}

=====

{"formula": "Ba2AcPbS5", "functional": "PBE-GGA", "state": "relaxed", "cell": [[2.2291, -9.2026, 0.0000], [2.2291, 9.2026, 0.0000], [0.0000, 0.0000, 13.1515]], "species": ["Ba", "Ba", "Ba", "Ba", "Ac", "Ac", "Pb", "Pb", "S", "S", "S", "S", "S", "S", "S", "S", "S", "S"], "frac_coords": [[0.1113, 0.8887, 0.5000], [0.1343, 0.8657, 0.1152], [0.8657, 0.1343, 0.6152], [0.8887, 0.1113, 0.0000], [0.2126, 0.7874, 0.8228], [0.7874, 0.2126, 0.3228], [0.4724, 0.5276, 0.2705], [0.5276, 0.4724, 0.7705], [0.0504, 0.9496, 0.8811], [0.2844, 0.7156, 0.4730], [0.3211, 0.6789, 0.1783], [0.3708, 0.6292, 0.8099], [0.4919, 0.5081, 0.5775], [0.5081, 0.4919, 0.0775], [0.6292, 0.3708, 0.3099], [0.6789, 0.3211, 0.6783], [0.7156, 0.2844, 0.9730], [0.9496, 0.0504, 0.3811]], "total_energy_ev_per_atom": -5.173, "m_tot_mub_per_cell": 0.000, "spacegroup": "Cmc2_1, No. 36", "raw_formation_energy_kj_per_mol_fu": -1376, "n_ef_per_ev_cell": 4.070}

=====

{"formula": "BaAcPb2Se4", "functional": "PBE-GGA", "state": "relaxed", "cell": [[6.4222, 0.0000, 0.0000], [0.0000, 6.4222, 0.0000], [0.0000, 0.0000, 12.8068]], "species": ["Ba", "Ba", "Ac", "Ac", "Pb", "Pb", "Pb", "Pb", "Se", "Se", "Se", "Se", "Se", "Se", "Se", "Se"], "frac_coords": [[0.0000, 0.0000, 0.0000], [0.5000, 0.5000, 0.5000], [0.0000, 0.5000, 0.7500], [0.5000, 0.0000, 0.2500], [0.0000, 0.0000, 0.5000], [0.0000, 0.5000, 0.2500], [0.5000, 0.0000, 0.7500], [0.5000, 0.5000, 0.0000], [0.0000, 0.0000, 0.2571], [0.0000, 0.0000, 0.7429], [0.0000, 0.5000, 0.5068], [0.0000, 0.5000, 0.9932], [0.5000, 0.0000, 0.0068], [0.5000, 0.0000, 0.4932], [0.5000, 0.5000, 0.2429], [0.5000, 0.5000, 0.7571]], "total_energy_ev_per_atom": -4.652, "m_tot_mub_per_cell": 0.000, "spacegroup": "I-4m2, No. 119", "raw_formation_energy_kj_per_mol_fu": -948, "n_ef_per_ev_cell": 8.125}

=====

{"formula": "BaAcSnPb", "functional": "PBE-GGA", "state": "relaxed", "cell": [[4.6704, 0.0000, 0.0000], [0.0000, 5.1457, 0.0000], [0.0000, 0.0000, 12.8282]], "species": ["Ba", "Ba", "Ac", "Ac", "Sn", "Sn", "Pb", "Pb"], "frac_coords": [[0.0000, 0.0000, 0.0000], [0.0000, 0.5000, 0.5000], [0.5000, 0.0000, 0.7251], [0.5000, 0.5000, 0.2251], [0.0000, 0.0000, 0.2759], [0.0000, 0.5000, 0.7759], [0.5000, 0.0000, 0.4373], [0.5000, 0.5000, 0.9373]], "total_energy_ev_per_atom": -4.027, "e_above_lowest_polymorph_mev_per_atom": 0.0, "m_tot_mub_per_cell": 0.008, "spacegroup": "Amm2, No. 38", "n_ef_per_ev_cell": 7.158}

=====

{"formula": "BaAcSnPb", "functional": "PBE-GGA", "state": "relaxed", "cell": [[8.3891, 0.0000, 0.0000], [0.0000, 8.3891, 0.0000], [0.0000, 0.0000, 8.3891]], "species": ["Ba", "Ba", "Ba", "Ba", "Ac", "Ac", "Ac", "Ac", "Sn", "Sn", "Sn", "Sn", "Pb", "Pb", "Pb", "Pb"], "frac_coords": [[0.0000, 0.0000, 0.0000], [0.0000, 0.5000, 0.5000], [0.5000, 0.0000, 0.5000], [0.5000, 0.5000, 0.0000], [0.0000, 0.0000, 0.5000], [0.0000, 0.5000, 0.0000], [0.5000, 0.0000, 0.0000], [0.5000, 0.5000, 0.5000], [0.2500, 0.2500, 0.2500], [0.2500, 0.7500, 0.7500], [0.7500, 0.2500, 0.7500], [0.7500, 0.7500, 0.2500], [0.2500, 0.2500, 0.7500], [0.2500, 0.7500, 0.2500], [0.7500, 0.2500, 0.2500], [0.7500, 0.7500, 0.7500]], "total_energy_ev_per_atom": -3.921, "e_above_lowest_polymorph_mev_per_atom": 105.2, "m_tot_mub_per_cell": 0.000, "spacegroup": "F-43m, No. 216", "n_ef_per_ev_cell": 13.970}

=====

{"formula": "Ba3Ac3Te8Pb", "functional": "PBE-GGA", "state": "relaxed", "cell": [[4.8042, 2.7737, 8.0517], [-4.8042, 2.7737, 8.0517], [0.0000, -5.5474, 8.0517]], "species": ["Ba", "Ba", "Ba", "Ac", "Ac", "Ac", "Te", "Te", "Te", "Te", "Te", "Te", "Te", "Te", "Pb"], "frac_coords": [[0.0000, 0.5000, 0.5000], [0.5000, 0.0000, 0.5000], [0.5000, 0.5000, 0.0000], [0.0000, 0.0000, 0.5000], [0.0000, 0.5000, 0.0000], [0.5000, 0.0000, 0.0000], [0.2442, 0.7432, 0.7432], [0.2456, 0.2456, 0.2456], [0.2568, 0.2568, 0.7558], [0.2568, 0.7558, 0.2568], [0.7432, 0.2442, 0.7432], [0.7432, 0.7432, 0.2442], [0.7544, 0.7544, 0.7544], [0.7558, 0.2568, 0.2568], [0.5000, 0.5000, 0.5000]], "total_energy_ev_per_atom": -4.606, "m_tot_mub_per_cell": 0.000, "spacegroup": "R-3m, No. 166", "raw_formation_energy_kj_per_mol_fu": -2137, "n_ef_per_ev_cell": 4.497}

=====

{"formula": "BaAc2Tl2Pb2", "functional": "PBE-GGA", "state": "relaxed", "cell": [[2.8015, 1.6174, 10.0134], [-2.8015, 1.6174, 10.0134], [0.0000, -3.2348, 10.0134]], "species": ["Ba", "Ac", "Ac", "Tl", "Tl", "Pb", "Pb"], "frac_coords": [[0.0000, 0.0000, 0.0000], [0.1309, 0.1309, 0.1309], [0.8691, 0.8691, 0.8691], [0.4281, 0.4281, 0.4281], [0.5719, 0.5719, 0.5719], [0.2597, 0.2597, 0.2597], [0.7403, 0.7403, 0.7403]], "total_energy_ev_per_atom": -3.436, "m_tot_mub_per_cell": 0.000, "spacegroup": "R-3m, No. 166", "n_ef_per_ev_cell": 5.608}

=====

{"formula": "BaAcZnPb", "functional": "PBE-GGA", "state": "relaxed", "cell": [[8.2736, 0.0000, 0.0000], [0.0000, 8.2736, 0.0000], [0.0000, 0.0000, 8.2736]], "species": ["Ba", "Ba", "Ba", "Ba", "Ac", "Ac", "Ac", "Ac", "Zn", "Zn", "Zn", "Zn", "Pb", "Pb", "Pb", "Pb"], "frac_coords": [[0.0000, 0.0000, 0.0000], [0.0000, 0.5000, 0.5000], [0.5000, 0.0000, 0.5000], [0.5000, 0.5000, 0.0000], [0.0000, 0.0000, 0.5000], [0.0000, 0.5000, 0.0000], [0.5000, 0.0000, 0.0000], [0.5000, 0.5000, 0.5000], [0.2500, 0.2500, 0.2500], [0.2500, 0.7500, 0.7500], [0.7500, 0.2500, 0.7500], [0.7500, 0.7500, 0.2500], [0.2500, 0.2500, 0.7500], [0.2500, 0.7500, 0.2500], [0.7500, 0.2500, 0.2500], [0.7500, 0.7500, 0.7500]], "total_energy_ev_per_atom": -3.083, "m_tot_mub_per_cell": 0.023, "spacegroup": "F-43m, No. 216", "n_ef_per_ev_cell": 19.897}

=====

{"formula": "BaAcPd2", "functional": "PBE-GGA", "state": "relaxed", "cell": [[4.3907, 0.0000, 0.0000], [-2.1953, 3.8024, 0.0000], [0.0000, 0.0000, 23.4843]], "species": ["Ba", "Ba", "Ba", "Ac", "Ac", "Ac", "Pd", "Pd", "Pd", "Pd", "Pd", "Pd"], "frac_coords": [[0.0000, 0.0000, 0.0000], [0.3333, 0.6667, 0.6667], [0.6667, 0.3333, 0.3333], [0.0000, 0.0000, 0.8281], [0.3333, 0.6667, 0.4948], [0.6667, 0.3333, 0.1614], [0.0000, 0.0000, 0.2373], [0.0000, 0.0000, 0.4206], [0.3333, 0.6667, 0.0873], [0.3333, 0.6667, 0.9040], [0.6667, 0.3333, 0.5706], [0.6667, 0.3333, 0.7540]], "total_energy_ev_per_atom": -4.670, "e_above_lowest_polymorph_mev_per_atom": 81.9, "m_tot_mub_per_cell": 0.000, "spacegroup": "R3m, No. 160", "n_ef_per_ev_cell": 7.713}

=====

{"formula": "Ba2AcPd", "functional": "PBE-GGA", "state": "relaxed", "cell": [[3.9806, 0.0000, 0.0000], [0.0000, 3.9806, 0.0000], [0.0000, 0.0000, 10.4171]], "species": ["Ba", "Ba", "Ac", "Pd"], "frac_coords": [[0.0000, 0.0000, 0.1794], [0.0000, 0.0000, 0.8206], [0.5000, 0.5000, 0.5000], [0.5000, 0.5000, 0.0000]], "total_energy_ev_per_atom": -3.462, "e_above_lowest_polymorph_mev_per_atom": 203.6, "m_tot_mub_per_cell": 0.000, "spacegroup": "P4/mmm, No. 123", "n_ef_per_ev_cell": 4.140}

=====

{"formula": "Ba2AcPd", "functional": "PBE-GGA", "state": "relaxed", "cell": [[4.4082, 0.0000, 0.0000], [0.0000, 4.4081, 0.0000], [-0.0076, 0.0000, 19.6588]], "species": ["Ba", "Ba", "Ba", "Ba", "Ac", "Ac", "Pd", "Pd"], "frac_coords": [[0.2492, 0.0000, 0.0840], [0.2514, 0.9989, 0.7440], [0.7486, 0.4989, 0.2560], [0.7508, 0.5000, 0.9160], [0.2495, 0.9968, 0.4249], [0.7505, 0.4968, 0.5751], [0.2505, 0.9967, 0.5815], [0.7495, 0.4967, 0.4185]], "total_energy_ev_per_atom": -3.665, "e_above_lowest_polymorph_mev_per_atom": 0.0, "m_tot_mub_per_cell": 0.009, "spacegroup": "P2_1, No. 4", "n_ef_per_ev_cell": 9.718}

=====

{"formula": "Ba2AcPd9", "functional": "PBE-GGA", "state": "relaxed", "cell": [[2.7829, 1.6067, 9.3260], [-2.7829, 1.6067, 9.3260], [0.0000, -3.2135, 9.3260]], "species": ["Ba", "Ba", "Ac", "Pd", "Pd", "Pd", "Pd", "Pd", "Pd", "Pd", "Pd", "Pd"], "frac_coords": [[0.1407, 0.1407, 0.1407], [0.8593, 0.8593, 0.8593], [0.0000, 0.0000, 0.0000], [0.0818, 0.5808, 0.5808], [0.3324, 0.3324, 0.3324], [0.4192, 0.4192, 0.9182], [0.4192, 0.9182, 0.4192], [0.5000, 0.5000, 0.5000], [0.5808, 0.0818, 0.5808], [0.5808, 0.5808, 0.0818], [0.6676, 0.6676, 0.6676], [0.9182, 0.4192, 0.4192]], "total_energy_ev_per_atom": -5.118, "m_tot_mub_per_cell": 0.000, "spacegroup": "R-3m, No. 166", "n_ef_per_ev_cell": 7.800}

=====

{"formula": "Ba5AcPd4", "functional": "PBE-GGA", "state": "relaxed", "cell": [[9.9622, -2.3028, 0.0000], [9.9622, 2.3028, 0.0000], [-2.2019, 0.0000, 8.7775]], "species": ["Ba", "Ba", "Ba", "Ba", "Ba", "Ac", "Pd", "Pd", "Pd", "Pd"], "frac_coords": [[0.0000, 0.0000, 0.0000], [0.3334, 0.3334, 0.6536], [0.3382, 0.3382, 0.1762], [0.6618, 0.6618, 0.8238], [0.6666, 0.6666, 0.3464], [0.0000, 0.0000, 0.5000], [0.1619, 0.1619, 0.5876], [0.4990, 0.4990, 0.7357], [0.5010, 0.5010, 0.2643], [0.8381, 0.8381, 0.4124]], "total_energy_ev_per_atom": -3.950, "m_tot_mub_per_cell": 0.000, "spacegroup": "C2/m, No. 12", "n_ef_per_ev_cell": 5.320}

=====

{"formula": "Ba2Ac2Pd15", "functional": "PBE-GGA", "state": "relaxed", "cell": [[4.8280, 2.7874, 4.7671], [-4.8280, 2.7874, 4.7671], [0.0000, -5.5749, 4.7671]], "species": ["Ba", "Ba", "Ac", "Ac", "Pd", "Pd", "Pd", "Pd", "Pd", "Pd", "Pd", "Pd", "Pd", "Pd", "Pd", "Pd", "Pd", "Pd", "Pd"], "frac_coords": [[0.1358, 0.1358, 0.1358], [0.8642, 0.8642, 0.8642], [0.3857, 0.3857, 0.3857], [0.6143, 0.6143, 0.6143], [0.0000, 0.5000, 0.5000], [0.1517, 0.1517, 0.6591], [0.1517, 0.6591, 0.1517], [0.2000, 0.5000, 0.8000], [0.2000, 0.8000, 0.5000], [0.3409, 0.8483, 0.8483], [0.5000, 0.0000, 0.5000], [0.5000, 0.2000, 0.8000], [0.5000, 0.5000, 0.0000], [0.5000, 0.8000, 0.2000], [0.6591, 0.1517, 0.1517], [0.8000, 0.2000, 0.5000], [0.8000, 0.5000, 0.2000], [0.8483, 0.3409, 0.8483], [0.8483, 0.8483, 0.3409]], "total_energy_ev_per_atom": -5.170, "m_tot_mub_per_cell": 0.000, "spacegroup": "R-3m, No. 166", "n_ef_per_ev_cell": 15.496}

=====

{"formula": "BaAcPd2", "functional": "PBE-GGA", "state": "relaxed", "cell": [[7.6828, 0.0000, 0.0000], [0.0000, 7.6828, 0.0000], [0.0000, 0.0000, 7.6828]], "species": ["Ba", "Ba", "Ba", "Ba", "Ac", "Ac", "Ac", "Ac", "Pd", "Pd", "Pd", "Pd", "Pd", "Pd", "Pd", "Pd"], "frac_coords": [[0.0000, 0.0000, 0.0000], [0.0000, 0.5000, 0.5000], [0.5000, 0.0000, 0.5000], [0.5000, 0.5000, 0.0000], [0.0000, 0.0000, 0.5000], [0.0000, 0.5000, 0.0000], [0.5000, 0.0000, 0.0000], [0.5000, 0.5000, 0.5000], [0.2500, 0.2500, 0.2500], [0.2500, 0.2500, 0.7500], [0.2500, 0.7500, 0.2500], [0.2500, 0.7500, 0.7500], [0.7500, 0.2500, 0.2500], [0.7500, 0.2500, 0.7500], [0.7500, 0.7500, 0.2500], [0.7500, 0.7500, 0.7500]], "total_energy_ev_per_atom": -4.685, "e_above_lowest_polymorph_mev_per_atom": 67.3, "m_tot_mub_per_cell": 0.000, "spacegroup": "Fm-3m, No. 225", "n_ef_per_ev_cell": 7.349}

=====

{"formula": "BaAcPd2", "functional": "PBE-GGA", "state": "relaxed", "cell": [[3.8668, 0.0000, 0.0000], [0.0000, 3.8668, 0.0000], [0.0000, 0.0000, 7.7681]], "species": ["Ba", "Ac", "Pd", "Pd"], "frac_coords": [[0.0000, 0.0000, 0.0000], [0.0000, 0.0000, 0.5000], [0.5000, 0.5000, 0.2920], [0.5000, 0.5000, 0.7080]], "total_energy_ev_per_atom": -4.751, "e_above_lowest_polymorph_mev_per_atom": 0.7, "m_tot_mub_per_cell": 0.000, "spacegroup": "P4/mmm, No. 123", "n_ef_per_ev_cell": 1.967}

=====

{"formula": "Ba2AcPd", "functional": "PBE-GGA", "state": "relaxed", "cell": [[4.2472, 0.0000, 0.0000], [-2.1236, 3.6782, 0.0000], [0.0000, 0.0000, 35.8616]], "species": ["Ba", "Ba", "Ba", "Ba", "Ba", "Ba", "Ac", "Ac", "Ac", "Pd", "Pd", "Pd"], "frac_coords": [[0.0000, 0.0000, 0.1127], [0.0000, 0.0000, 0.8873], [0.3333, 0.6667, 0.5539], [0.3333, 0.6667, 0.7794], [0.6667, 0.3333, 0.2206], [0.6667, 0.3333, 0.4461], [0.0000, 0.0000, 0.0000], [0.3333, 0.6667, 0.6667], [0.6667, 0.3333, 0.3333], [0.0000, 0.0000, 0.5000], [0.3333, 0.6667, 0.1667], [0.6667, 0.3333, 0.8333]], "total_energy_ev_per_atom": -3.351, "e_above_lowest_polymorph_mev_per_atom": 314.2, "m_tot_mub_per_cell": 0.520, "spacegroup": "R-3m, No. 166", "n_ef_per_ev_cell": 11.609}

=====

{"formula": "BaAcPd2", "functional": "PBE-GGA", "state": "relaxed", "cell": [[4.2627, 0.0000, 0.0000], [0.0000, 4.6737, 0.0000], [-2.1144, 0.0000, 6.0497]], "species": ["Ba", "Ac", "Pd", "Pd"], "frac_coords": [[0.0000, 0.0000, 0.0000], [0.2670, 0.5000, 0.5370], [0.5722, 0.5000, 0.1457], [0.7234, 0.0000, 0.4503]], "total_energy_ev_per_atom": -4.752, "e_above_lowest_polymorph_mev_per_atom": 0.0, "m_tot_mub_per_cell": 0.000, "spacegroup": "Pm, No. 6", "n_ef_per_ev_cell": 2.821}

=====

{"formula": "BaAcPd2", "functional": "PBE-GGA", "state": "relaxed", "cell": [[4.4803, 0.0000, 0.0000], [-2.2402, 3.8801, 0.0000], [0.0000, 0.0000, 22.4435]], "species": ["Ba", "Ba", "Ba", "Ac", "Ac", "Ac", "Pd", "Pd", "Pd", "Pd", "Pd", "Pd"], "frac_coords": [[0.0000, 0.0000, 0.0000], [0.3333, 0.6667, 0.6667], [0.6667, 0.3333, 0.3333], [0.0000, 0.0000, 0.5000], [0.3333, 0.6667, 0.1667], [0.6667, 0.3333, 0.8333], [0.0000, 0.0000, 0.2413], [0.0000, 0.0000, 0.7587], [0.3333, 0.6667, 0.4253], [0.3333, 0.6667, 0.9080], [0.6667, 0.3333, 0.0920], [0.6667, 0.3333, 0.5747]], "total_energy_ev_per_atom": -4.720, "e_above_lowest_polymorph_mev_per_atom": 32.1, "m_tot_mub_per_cell": 0.000, "spacegroup": "R-3m, No. 166", "n_ef_per_ev_cell": 7.695}